## AlBiTe2I (PBE-GGA)

Data for a geometry-optimized AlBiTe2I structure.

## Properties
Formation energy from raw total energies = 401 meV per atom
Space-group type = No. 123
Magnetic moment = 0.00 μB per cell
Calculated total energy = -2.6908 eV per atom

```
data_AlBiTe2I
_cell_length_a 5.942
_cell_length_b 5.942
_cell_length_c 6.199
_cell_angle_alpha 90.00
_cell_angle_beta 90.00
_cell_angle_gamma 90.00
_space_group_name_H-M_alt 'P 1'
_space_group_IT_number 1
_space_group_name_Hall 'P 1'
loop_
_atom_site_label
_atom_site_type_symbol
_atom_site_fract_x
_atom_site_fract_y
_atom_site_fract_z
Al1 Al 0.000 0.000 0.000
Bi1 Bi 0.500 0.500 0.500
Te1 Te 0.000 0.500 0.500
Te2 Te 0.500 0.000 0.500
I1 I 0.500 0.500 0.000
```

=====

## TaTiCu (PBE-GGA)

Data for a geometry-optimized TaTiCu structure.

## Properties
Space-group type = No. 69
Magnetic moment = 0.00 μB per cell
Calculated total energy = -7.9290 eV per atom

```
data_TaTiCu
_cell_length_a 6.319
_cell_length_b 5.110
_cell_length_c 5.019
_cell_angle_alpha 77.18
_cell_angle_beta 52.05
_cell_angle_gamma 50.77
_space_group_name_H-M_alt 'P 1'
_space_group_IT_number 1
_space_group_name_Hall 'P 1'
loop_
_atom_site_label
_atom_site_type_symbol
_atom_site_fract_x
_atom_site_fract_y
_atom_site_fract_z
Ta1 Ta 0.156 0.844 0.156
Ta2 Ta 0.844 0.156 0.844
Ti1 Ti 0.347 0.347 0.653
Ti2 Ti 0.653 0.653 0.347
Cu1 Cu 0.250 0.250 0.250
Cu2 Cu 0.750 0.750 0.750
```

=====

## PdPt2F8 (PBE-GGA)

Data for a geometry-optimized PdPt2F8 structure.

## Properties
Formation energy from raw total energies = -1096 meV per atom
Space-group type = No. 2
Magnetic moment = 0.65 μB per cell
Calculated total energy = -4.0270 eV per atom

```
data_PdPt2F8
_cell_length_a 4.133
_cell_length_b 5.852
_cell_length_c 6.384
_cell_angle_alpha 75.29
_cell_angle_beta 79.79
_cell_angle_gamma 79.93
_space_group_name_H-M_alt 'P 1'
_space_group_IT_number 1
_space_group_name_Hall 'P 1'
loop_
_atom_site_label
_atom_site_type_symbol
_atom_site_fract_x
_atom_site_fract_y
_atom_site_fract_z
Pd1 Pd 0.000 0.000 0.000
Pt1 Pt 0.120 0.370 0.366
Pt2 Pt 0.880 0.630 0.634
F1 F 0.156 0.638 0.097
F2 F 0.172 0.097 0.614
F3 F 0.305 0.128 0.141
F4 F 0.373 0.614 0.666
F5 F 0.627 0.386 0.334
F6 F 0.695 0.872 0.859
F7 F 0.828 0.903 0.386
F8 F 0.844 0.362 0.903
```

=====

## CePm3Y12 (PBE-GGA)

Data for a geometry-optimized CePm3Y12 structure.

## Properties
Space-group type = No. 123
Magnetic moment = 0.97 μB per cell
Calculated total energy = -6.0749 eV per atom

```
data_CePm3Y12
_cell_length_a 5.077
_cell_length_b 5.077
_cell_length_c 20.292
_cell_angle_alpha 90.00
_cell_angle_beta 90.00
_cell_angle_gamma 90.00
_space_group_name_H-M_alt 'P 1'
_space_group_IT_number 1
_space_group_name_Hall 'P 1'
loop_
_atom_site_label
_atom_site_type_symbol
_atom_site_fract_x
_atom_site_fract_y
_atom_site_fract_z
Ce1 Ce 0.000 0.000 0.000
Pm1 Pm 0.000 0.000 0.248
Pm2 Pm 0.000 0.000 0.500
Pm3 Pm 0.000 0.000 0.752
Y1 Y 0.000 0.500 0.123
Y2 Y 0.000 0.500 0.374
Y3 Y 0.000 0.500 0.626
Y4 Y 0.000 0.500 0.877
Y5 Y 0.500 0.000 0.123
Y6 Y 0.500 0.000 0.374
Y7 Y 0.500 0.000 0.626
Y8 Y 0.500 0.000 0.877
Y9 Y 0.500 0.500 0.000
Y10 Y 0.500 0.500 0.250
Y11 Y 0.500 0.500 0.500
Y12 Y 0.500 0.500 0.750
```

=====

## Na2LiCuSn2 (PBE-GGA)

Data for a geometry-optimized Na2LiCuSn2 structure.

## Properties
Space-group type = No. 72
Magnetic moment = 0.00 μB per cell
Calculated total energy = -2.8607 eV per atom

```
data_Na2LiCuSn2
_cell_length_a 8.321
_cell_length_b 8.321
_cell_length_c 8.321
_cell_angle_alpha 132.49
_cell_angle_beta 68.40
_cell_angle_gamma 133.85
_space_group_name_H-M_alt 'P 1'
_space_group_IT_number 1
_space_group_name_Hall 'P 1'
loop_
_atom_site_label
_atom_site_type_symbol
_atom_site_fract_x
_atom_site_fract_y
_atom_site_fract_z
Na1 Na 0.164 0.249 0.413
Na2 Na 0.336 0.749 0.085
Na3 Na 0.664 0.251 0.915
Na4 Na 0.836 0.751 0.587
Li1 Li 0.250 0.750 0.500
Li2 Li 0.750 0.250 0.500
Cu1 Cu 0.250 0.250 0.000
Cu2 Cu 0.750 0.750 0.000
Sn1 Sn 0.098 0.771 0.868
Sn2 Sn 0.402 0.271 0.673
Sn3 Sn 0.598 0.729 0.327
Sn4 Sn 0.902 0.229 0.132
```

=====

## La4TlCdO (PBE-GGA)

Data for a geometry-optimized La4TlCdO structure.

## Properties
Formation energy from raw total energies = -974 meV per atom
Space-group type = No. 63
Magnetic moment = 0.00 μB per cell
Calculated total energy = -4.9664 eV per atom

```
data_La4TlCdO
_cell_length_a 9.113
_cell_length_b 9.113
_cell_length_c 7.061
_cell_angle_alpha 90.00
_cell_angle_beta 90.00
_cell_angle_gamma 134.50
_space_group_name_H-M_alt 'P 1'
_space_group_IT_number 1
_space_group_name_Hall 'P 1'
loop_
_atom_site_label
_atom_site_type_symbol
_atom_site_fract_x
_atom_site_fract_y
_atom_site_fract_z
La1 La 0.000 0.500 0.000
La2 La 0.000 0.500 0.500
La3 La 0.079 0.921 0.750
La4 La 0.421 0.579 0.750
La5 La 0.500 0.000 0.000
La6 La 0.500 0.000 0.500
La7 La 0.579 0.421 0.250
La8 La 0.921 0.079 0.250
Tl1 Tl 0.112 0.888 0.250
Tl2 Tl 0.888 0.112 0.750
Cd1 Cd 0.385 0.615 0.250
Cd2 Cd 0.615 0.385 0.750
O1 O 0.251 0.749 0.750
O2 O 0.749 0.251 0.250
```

=====

## TmCd3Rh (PBE-GGA)

Data for a geometry-optimized TmCd3Rh structure.

## Properties
Space-group type = No. 62
Magnetic moment = 0.00 μB per cell
Calculated total energy = -3.2349 eV per atom

```
data_TmCd3Rh
_cell_length_a 9.422
_cell_length_b 3.991
_cell_length_c 11.846
_cell_angle_alpha 90.00
_cell_angle_beta 90.00
_cell_angle_gamma 90.00
_space_group_name_H-M_alt 'P 1'
_space_group_IT_number 1
_space_group_name_Hall 'P 1'
loop_
_atom_site_label
_atom_site_type_symbol
_atom_site_fract_x
_atom_site_fract_y
_atom_site_fract_z
Tm1 Tm 0.194 0.250 0.014
Tm2 Tm 0.306 0.750 0.514
Tm3 Tm 0.694 0.250 0.486
Tm4 Tm 0.806 0.750 0.986
Cd1 Cd 0.041 0.250 0.413
Cd2 Cd 0.055 0.750 0.210
Cd3 Cd 0.186 0.750 0.793
Cd4 Cd 0.314 0.250 0.293
Cd5 Cd 0.445 0.250 0.710
Cd6 Cd 0.459 0.750 0.913
Cd7 Cd 0.541 0.250 0.087
Cd8 Cd 0.555 0.750 0.290
Cd9 Cd 0.686 0.750 0.707
Cd10 Cd 0.814 0.250 0.207
Cd11 Cd 0.945 0.250 0.790
Cd12 Cd 0.959 0.750 0.587
Rh1 Rh 0.173 0.250 0.627
Rh2 Rh 0.327 0.750 0.127
Rh3 Rh 0.673 0.250 0.873
Rh4 Rh 0.827 0.750 0.373
```

=====

## CaAs2CBr (PBE-GGA)

Data for a geometry-optimized CaAs2CBr structure.

## Properties
Formation energy from raw total energies = 292 meV per atom
Space-group type = No. 123
Magnetic moment = 0.00 μB per cell
Calculated total energy = -4.1476 eV per atom

```
data_CaAs2CBr
_cell_length_a 4.180
_cell_length_b 4.180
_cell_length_c 6.505
_cell_angle_alpha 90.00
_cell_angle_beta 90.00
_cell_angle_gamma 90.00
_space_group_name_H-M_alt 'P 1'
_space_group_IT_number 1
_space_group_name_Hall 'P 1'
loop_
_atom_site_label
_atom_site_type_symbol
_atom_site_fract_x
_atom_site_fract_y
_atom_site_fract_z
Ca1 Ca 0.000 0.000 0.000
As1 As 0.000 0.500 0.500
As2 As 0.500 0.000 0.500
C1 C 0.500 0.500 0.500
Br1 Br 0.500 0.500 0.000
```